# 1
Crystalline ZrAg2 at its relaxed geometry. Source: the Alexandria database, functional GGA-PBEsol.

- Excess energy over the best structure of this formula in the dataset: 0.0103 eV per atom
- M_tot: 0.0000 μB/atom
- E: -5.35 eV/atom

a = 2.9895 Å, b = 4.0932 Å, c = 8.8014 Å
α = 90.00°, β = 90.00°, γ = 90.00°
Closest atoms and distances in Å follow each position.
Space group Immm (No. 71)
One atom of each set of equivalent atoms:
Zr 0.0000 0.0000 0.0000 (multiplicity 2)  10 Ag 2.90-2.94, 2 Zr 2.99
Ag 0.0000 0.0000 0.3298 (multiplicity 4)  7 Ag 2.90-3.00, 5 Zr 2.90-2.94

# 2
Crystalline ZrAg5 at its relaxed geometry. Source: the Alexandria database, functional GGA-PBEsol.

- Excess energy over the best structure of this formula in the dataset: 0.0063 eV per atom
- M_tot: 0.0000 μB/atom
- E: -4.29 eV/atom

a = 2.9077 Å, b = 2.9077 Å, c = 12.2849 Å
α = 90.00°, β = 90.00°, γ = 90.00°
Closest atoms and distances in Å follow each position.
Space group P4/mmm (No. 123)
One atom of each set of equivalent atoms:
Zr 0.0000 0.0000 0.0000 (multiplicity 1)  4 Zr 2.91, 8 Ag 3.00
Ag 0.0000 0.0000 0.3396 (multiplicity 2)  12 Ag 2.85-2.91
Ag 0.5000 0.5000 0.1776 (multiplicity 2)  8 Ag 2.86-2.91, 4 Zr 3.00
Ag 0.5000 0.5000 0.5000 (multiplicity 1)  12 Ag 2.85-2.91

# 3
Crystalline ZrAg5 at its relaxed geometry. Source: the Alexandria database, functional GGA-PBEsol.

- Excess energy over the best structure of this formula in the dataset: 0.0000 eV per atom
- M_tot: 0.0001 μB/atom
- E: -4.30 eV/atom

a = 4.9740 Å, b = 4.9740 Å, c = 4.8446 Å
α = 90.00°, β = 90.00°, γ = 120.00°
Closest atoms and distances in Å follow each position.
Space group P-62m (No. 189)
One atom of each set of equivalent atoms:
Zr 0.0000 0.0000 0.0000 (multiplicity 1)  12 Ag 2.87-2.94
Ag 0.0000 0.3359 0.5000 (multiplicity 3)  10 Ag 2.86-2.93, 2 Zr 2.94
Ag 0.3333 0.6667 0.0000 (multiplicity 2)  3 Zr 2.87, 9 Ag 2.87-2.93

# 4
Crystalline ZrAg2 at its relaxed geometry. Source: the Alexandria database, functional GGA-PBEsol.

- Excess energy over the best structure of this formula in the dataset: 0.1133 eV per atom
- M_tot: 0.2092 μB/atom
- E: -5.25 eV/atom

a = 4.1674 Å, b = 12.2813 Å, c = 4.2914 Å
α = 90.00°, β = 90.00°, γ = 90.00°
Closest atoms and distances in Å follow each position.
Space group Cmcm (No. 63)
One atom of each set of equivalent atoms:
Zr 0.0000 0.0885 0.2500 (multiplicity 4)  10 Ag 2.89-2.99, 2 Zr 3.05
Ag 0.0000 0.2463 0.7500 (multiplicity 4)  4 Zr 2.89-2.91, 8 Ag 2.90-3.00
Ag 0.0000 0.4176 0.2500 (multiplicity 4)  6 Ag 2.90-3.00, 6 Zr 2.96-2.99

# 5
Crystalline Zr4Ag at its relaxed geometry. Source: the Alexandria database, functional GGA-PBEsol.

- Excess energy over the best structure of this formula in the dataset: 0.0000 eV per atom
- M_tot: 0.0000 μB/atom
- E: -7.99 eV/atom

a = 3.1480 Å, b = 3.1480 Å, c = 21.1120 Å
α = 90.00°, β = 90.00°, γ = 90.00°
Closest atoms and distances in Å follow each position.
Space group I4/mmm (No. 139)
One atom of each set of equivalent atoms:
Zr 0.0000 0.0000 0.0940 (multiplicity 4)  4 Ag 2.98, 8 Zr 3.12-3.15
Zr 0.0000 0.0000 0.3024 (multiplicity 4)  12 Zr 3.12-3.15
Ag 0.0000 0.0000 0.5000 (multiplicity 2)  8 Zr 2.98, 4 Ag 3.15

# 6
Crystalline ZrAg5 at its relaxed geometry. Source: the Alexandria database, functional GGA-PBEsol.

- Excess energy over the best structure of this formula in the dataset: 0.0063 eV per atom
- M_tot: 0.0000 μB/atom
- E: -4.29 eV/atom

a = 9.6886 Å, b = 2.8818 Å, c = 8.2395 Å
α = 90.00°, β = 115.43°, γ = 90.00°
Closest atoms and distances in Å follow each position.
Space group C2/m (No. 12)
One atom of each set of equivalent atoms:
Zr 0.0000 0.0000 0.0000 (multiplicity 2)  2 Zr 2.88, 10 Ag 2.89-2.96
Ag 0.0000 0.0000 0.5000 (multiplicity 2)  12 Ag 2.87-2.92
Ag 0.1662 0.5000 0.3392 (multiplicity 4)  10 Ag 2.84-2.94, 2 Zr 2.94
Ag 0.1696 0.5000 0.8279 (multiplicity 4)  9 Ag 2.87-2.96, 3 Zr 2.89-2.96

Number 1: energy of formation -0.1124 eV/atom. Number 2: energy of formation -0.0160 eV/atom. Number 3: energy of formation -0.0223 eV/atom. Number 4: energy of formation -0.0094 eV/atom. Number 5: energy of formation -0.0581 eV/atom. Number 6: energy of formation -0.0160 eV/atom.